Below is a relaxed structure of La2Pr8Hg, with properties calculated at the PBE level.

```
La2Pr8Hg
1.0
5.623 0.000 -1.614
-0.112 6.660 -0.389
-0.063 -0.073 10.381
La Pr Hg
2 8 1
direct
0.764 0.670 0.528
0.236 0.330 0.472
0.420 0.397 0.840
0.040 0.257 0.080
0.847 0.198 0.695
0.153 0.802 0.305
0.658 0.118 0.317
0.960 0.743 0.920
0.342 0.882 0.683
0.580 0.603 0.160
0.500 0.000 0.000
```

Results
offset from the most stable computed form = 0 kJ/mol of formula units
ΔE_f = -0.0451 eV per atom
space group = No. 12
electronic total energy = -48.9 eV for the cell shown
DOS(E_F) = 1.34 states/eV per atom